# 1
This record from Alexandria describes a relaxed ThPaTeN crystal. The functional is PBE.

Calculated values
VASP energy = -65.7 eV per cell
Formation energy (no corrections) = -108.4 kJ/mol of atoms
Size of the total moment = 1.7 μB per cell

a b c (Å): 4.2054 4.2054 10.8393
angles (deg): 90.00 90.00 90.00
Closest atoms and distances in Å follow each position.
Space group P4/nmm (No. 129, origin choice 2)
Asymmetric unit:
1 Th 0.2500 0.2500 0.1024 (multiplicity 2)  4 N 2.38
2 Pa 0.2500 0.7500 0.5000 (multiplicity 2)  4 Pa 2.97, 4 Te 3.21
3 Te 0.2500 0.2500 0.7238 (multiplicity 2)  4 Pa 3.21, 4 Th 3.52
4 N 0.2500 0.7500 0.0000 (multiplicity 2)  4 Th 2.38

# 2
This record from Alexandria describes a relaxed PrHoPb crystal. The functional is PBE.

Calculated values
VASP energy = -57.8 eV per cell
E_form = -464 meV/atom
Polymorph energy (0 for the lowest one) = 0 meV per atom
Size of the total moment = 1.4 μB per cell

a b c (Å): 4.6975 4.6975 17.2911
angles (deg): 90.00 90.00 90.00
Closest atoms and distances in Å follow each position.
Space group I4/mmm (No. 139)
Asymmetric unit:
1 Pr 0.0000 0.0000 0.1757 (multiplicity 4)  5 Pb 3.31-3.40
2 Ho 0.0000 0.5000 0.0000 (multiplicity 4)  4 Pb 3.29, 4 Ho 3.32
3 Pb 0.0000 0.0000 0.3671 (multiplicity 4)  4 Ho 3.29, 5 Pr 3.31-3.40